No. 1
KRbP2O: optimized geometry, PBE-GGA.

Computed properties:
- DOS(E_F) (states/eV/cell) = 3.4
- total energy (eV per atom) = -2.6521
- E_form (uncorrected) (kJ per mole of atoms) = 88.4

Unit cell a=6.435 b=6.435 c=5.006 alpha=90.00 beta=90.00 gamma=90.00
Space group P4/mmm (No. 123)
Asymmetric unit:
K: 0.000 0.000 0.000 [1 per cell]
Rb: 0.500 0.500 0.500 [1 per cell]
P: 0.000 0.500 0.500 [2 per cell]
O: 0.500 0.500 0.000 [1 per cell]

***

No. 2
LiGa2Ge: optimized geometry, PBE-GGA.

Computed properties:
- DOS(E_F) (states/eV/cell) = 3.7
- ΔE_f (eV/atom) = -0.100
- total energy (eV per atom) = -3.2459

Unit cell a=5.312 b=9.733 c=2.750 alpha=90.00 beta=90.00 gamma=90.00
Space group Cmmm (No. 65)
Asymmetric unit:
Li: 0.000 0.000 0.000 [2 per cell]
Ga: 0.250 0.250 0.500 [4 per cell]
Ge: 0.000 0.500 0.500 [2 per cell]